# 1
DFT (PBE) results for crystalline TmUOsRu at its relaxed geometry.

Cell: 4.7785 4.7785 4.7785 Å, 60.00 60.00 60.00°
Sites, in units of the cell vectors:
1 Tm 0.0000 0.0000 0.0000
2 U 0.5000 0.5000 0.5000
3 Os 0.7500 0.7500 0.7500
4 Ru 0.2500 0.2500 0.2500

## Properties
Final energy: -9.2782 eV/atom
E_form: -0.21 eV/atom
ρ: 15.028 Mg/m³
Fermi-level density of states: 8.115 states/eV/cell


# 2
DFT (PBE) results for crystalline In4Pb3 at its relaxed geometry.

Cell: 13.6266 13.6266 13.6266 Å, 163.51 163.51 23.41°
Sites, in units of the cell vectors:
1 In 0.0726 0.0726 0.0000
2 In 0.3618 0.3618 0.0000
3 In 0.6382 0.6382 0.0000
4 In 0.9274 0.9274 0.0000
5 Pb 0.2096 0.2096 0.0000
6 Pb 0.5000 0.5000 0.0000
7 Pb 0.7904 0.7904 0.0000

## Properties
Final energy: -3.1300 eV/atom
E_form: 0.02 eV/atom
ρ: 8.801 Mg/m³
Energy above the most stable polymorph in this dataset: 8 meV/atom
Fermi-level density of states: 2.298 states/eV/cell